1.
{
  "formula": "AgHgW2Au",
  "functional": "GGA-PBE",
  "state": "optimized geometry",
  "lattice_angstrom": [[-1.952, -2.482, -3.956], [0.848, -4.366, 2.320], [-4.591, 0.235, 2.119]],
  "species": ["W", "W", "Ag", "Au", "Hg"],
  "frac_coords": [[0.500, 0.000, 0.000], [0.000, 0.000, 0.500], [0.000, 0.500, 0.000], [0.500, 0.500, 0.500], [0.000, 0.000, 0.000]],
  "space_group": "P4/mmm, No. 123",
  "ef_ev_per_atom": 2.53,
  "n_ef_per_ev_cell": 6.72
}



2.
{
  "formula": "Er2Mg2Ag",
  "functional": "GGA-PBE",
  "state": "optimized geometry",
  "lattice_angstrom": [[3.128, -0.944, 1.412], [0.702, 3.429, 0.738], [0.784, -0.712, 11.242]],
  "species": ["Mg", "Ag", "Mg", "Er", "Er"],
  "frac_coords": [[0.614, 0.704, 0.591], [0.000, 0.500, 0.000], [0.386, 0.296, 0.409], [0.774, 0.091, 0.817], [0.226, 0.909, 0.183]],
  "space_group": "Immm, No. 71",
  "ef_ev_per_atom": -0.15,
  "n_ef_per_ev_cell": 2.92
}



3.
{
  "formula": "Rb2HgAs2",
  "functional": "GGA-PBE",
  "state": "optimized geometry",
  "lattice_angstrom": [[-3.386, -1.449, 1.223], [0.410, -3.004, -2.423], [3.977, -8.083, 7.587]],
  "species": ["Rb", "As", "As", "Hg", "Rb"],
  "frac_coords": [[0.379, 0.379, 0.242], [0.750, 0.250, 0.500], [0.250, 0.750, 0.500], [0.000, 0.000, 0.000], [0.621, 0.621, 0.758]],
  "space_group": "I4/mmm, No. 139",
  "ef_ev_per_atom": -0.14,
  "de_polymorph_ev_per_fu": 0.62,
  "n_ef_per_ev_cell": 2.62
}



4.
{
  "formula": "LaBeGe3",
  "functional": "GGA-PBE",
  "state": "optimized geometry",
  "lattice_angstrom": [[4.184, 0.000, 0.000], [0.000, 4.184, 0.000], [0.000, 0.000, 7.154]],
  "species": ["Be", "Ge", "La", "Ge", "Ge"],
  "frac_coords": [[0.500, 0.500, 0.327], [0.000, 0.000, 0.732], [0.000, 0.000, 0.180], [0.500, 0.000, 0.512], [0.000, 0.500, 0.512]],
  "space_group": "P4mm, No. 99",
  "ef_ev_per_atom": 0.05,
  "de_polymorph_ev_per_fu": 1.85,
  "n_ef_per_ev_cell": 1.38
}



Copy entry 4 word for word.
{
  "formula": "LaBeGe3",
  "functional": "GGA-PBE",
  "state": "optimized geometry",
  "lattice_angstrom": [[4.184, 0.000, 0.000], [0.000, 4.184, 0.000], [0.000, 0.000, 7.154]],
  "species": ["Be", "Ge", "La", "Ge", "Ge"],
  "frac_coords": [[0.500, 0.500, 0.327], [0.000, 0.000, 0.732], [0.000, 0.000, 0.180], [0.500, 0.000, 0.512], [0.000, 0.500, 0.512]],
  "space_group": "P4mm, No. 99",
  "ef_ev_per_atom": 0.05,
  "de_polymorph_ev_per_fu": 1.85,
  "n_ef_per_ev_cell": 1.38
}